# ZrFeRu (PBE-GGA, optimized geometry)
# energy of formation	228	meV per atom
# D(E_F)	1.205	states/eV per atom
data_ZrFeRu
_chemical_formula_sum 'Zr4 Fe4 Ru4'
_cell_length_a 5.953
_cell_length_b 5.953
_cell_length_c 5.953
_cell_angle_alpha 90.00
_cell_angle_beta 90.00
_cell_angle_gamma 90.00
_symmetry_space_group_name_H-M 'F -4 3 m'
_symmetry_Int_Tables_number 216
_symmetry_space_group_name_Hall 'F -4 2 3'
loop_
_atom_site_label
_atom_site_fract_x
_atom_site_fract_y
_atom_site_fract_z
_atom_site_occupancy
Zr1 0.000 0.000 0.000 1
Fe1 0.250 0.250 0.750 1
Ru1 0.000 0.000 0.500 1

# ZrFe2Ru (PBE-GGA, optimized geometry)
# energy of formation	-44	meV per atom
# D(E_F)	0.734	states/eV per atom
data_ZrFe2Ru
_chemical_formula_sum 'Zr1 Fe2 Ru1'
_cell_length_a 4.251
_cell_length_b 4.251
_cell_length_c 3.228
_cell_angle_alpha 90.00
_cell_angle_beta 90.00
_cell_angle_gamma 90.00
_symmetry_space_group_name_H-M 'P 4/m m m'
_symmetry_Int_Tables_number 123
_symmetry_space_group_name_Hall '-P 4 2'
loop_
_atom_site_label
_atom_site_fract_x
_atom_site_fract_y
_atom_site_fract_z
_atom_site_occupancy
Zr1 0.000 0.000 0.000 1
Fe1 0.000 0.500 0.500 1
Ru1 0.500 0.500 0.000 1

# Zr2FeRu (PBE-GGA, optimized geometry)
# energy of formation	49	meV per atom
# D(E_F)	0.879	states/eV per atom
data_Zr2FeRu
_chemical_formula_sum 'Zr6 Fe3 Ru3'
_cell_length_a 3.9755
_cell_length_b 3.9755
_cell_length_c 17.0530
_cell_angle_alpha 90.00
_cell_angle_beta 90.00
_cell_angle_gamma 120.00
_symmetry_space_group_name_H-M 'R 3 m'
_symmetry_Int_Tables_number 160
_symmetry_space_group_name_Hall 'R 3 -2"'
loop_
_atom_site_label
_atom_site_fract_x
_atom_site_fract_y
_atom_site_fract_z
_atom_site_occupancy
Zr1 0.0000 0.0000 0.0000 1
Zr2 0.0000 0.0000 0.1976 1
Fe1 0.0000 0.0000 0.4294 1
Ru1 0.0000 0.0000 0.7685 1

# ZrFe2Ru2 (PBE-GGA, optimized geometry)
# energy of formation	13	meV per atom
# D(E_F)	1.191	states/eV per atom
data_ZrFe2Ru2
_chemical_formula_sum 'Zr2 Fe4 Ru4'
_cell_length_a 7.163
_cell_length_b 7.163
_cell_length_c 2.734
_cell_angle_alpha 90.00
_cell_angle_beta 90.00
_cell_angle_gamma 90.00
_symmetry_space_group_name_H-M 'P 4/m b m'
_symmetry_Int_Tables_number 127
_symmetry_space_group_name_Hall '-P 4 2ab'
loop_
_atom_site_label
_atom_site_fract_x
_atom_site_fract_y
_atom_site_fract_z
_atom_site_occupancy
Zr1 0.000 0.000 0.000 1
Fe1 0.118 0.382 0.000 1
Ru1 0.175 0.675 0.500 1

# ZrFe2Ru2 (PBE-GGA, optimized geometry)
# energy of formation	106	meV per atom
# D(E_F)	1.113	states/eV per atom
data_ZrFe2Ru2
_chemical_formula_sum 'Zr2 Fe4 Ru4'
_cell_length_a 3.946
_cell_length_b 3.946
_cell_length_c 10.193
_cell_angle_alpha 90.00
_cell_angle_beta 90.00
_cell_angle_gamma 90.00
_symmetry_space_group_name_H-M 'I 4/m m m'
_symmetry_Int_Tables_number 139
_symmetry_space_group_name_Hall '-I 4 2'
loop_
_atom_site_label
_atom_site_fract_x
_atom_site_fract_y
_atom_site_fract_z
_atom_site_occupancy
Zr1 0.000 0.000 0.000 1
Fe1 0.000 0.500 0.250 1
Ru1 0.000 0.000 0.386 1

# Zr2FeRu (PBE-GGA, optimized geometry)
# energy of formation	-10	meV per atom
# D(E_F)	0.546	states/eV per atom
data_Zr2FeRu
_chemical_formula_sum 'Zr6 Fe3 Ru3'
_cell_length_a 3.2042
_cell_length_b 3.2042
_cell_length_c 23.8145
_cell_angle_alpha 90.00
_cell_angle_beta 90.00
_cell_angle_gamma 120.00
_symmetry_space_group_name_H-M 'R -3 m'
_symmetry_Int_Tables_number 166
_symmetry_space_group_name_Hall '-R 3 2"'
loop_
_atom_site_label
_atom_site_fract_x
_atom_site_fract_y
_atom_site_fract_z
_atom_site_occupancy
Zr1 0.0000 0.0000 0.2476 1
Fe1 0.0000 0.0000 0.5000 1
Ru1 0.0000 0.0000 0.0000 1

# ZrFe2Ru2 (PBE-GGA, optimized geometry)
# energy of formation	74	meV per atom
# D(E_F)	0.975	states/eV per atom
data_ZrFe2Ru2
_chemical_formula_sum 'Zr2 Fe4 Ru4'
_cell_length_a 7.239
_cell_length_b 7.239
_cell_length_c 2.697
_cell_angle_alpha 90.00
_cell_angle_beta 90.00
_cell_angle_gamma 90.00
_symmetry_space_group_name_H-M 'P 4/m b m'
_symmetry_Int_Tables_number 127
_symmetry_space_group_name_Hall '-P 4 2ab'
loop_
_atom_site_label
_atom_site_fract_x
_atom_site_fract_y
_atom_site_fract_z
_atom_site_occupancy
Zr1 0.000 0.000 0.000 1
Fe1 0.171 0.329 0.500 1
Ru1 0.126 0.626 0.000 1

# ZrFe2Ru (PBE-GGA, optimized geometry)
# energy of formation	349	meV per atom
# D(E_F)	1.238	states/eV per atom
data_ZrFe2Ru
_chemical_formula_sum 'Zr4 Fe8 Ru4'
_cell_length_a 3.666
_cell_length_b 3.666
_cell_length_c 19.244
_cell_angle_alpha 90.00
_cell_angle_beta 90.00
_cell_angle_gamma 90.00
_symmetry_space_group_name_H-M 'I -4 2 d'
_symmetry_Int_Tables_number 122
_symmetry_space_group_name_Hall 'I -4 2bw'
loop_
_atom_site_label
_atom_site_fract_x
_atom_site_fract_y
_atom_site_fract_z
_atom_site_occupancy
Zr1 0.000 0.000 0.000 1
Fe1 0.228 0.250 0.625 1
Ru1 0.000 0.000 0.500 1

# ZrFe2Ru (PBE-GGA, optimized geometry)
# energy of formation	-84	meV per atom
# D(E_F)	0.719	states/eV per atom
data_ZrFe2Ru
_chemical_formula_sum 'Zr1 Fe2 Ru1'
_cell_length_a 3.145
_cell_length_b 3.145
_cell_length_c 6.014
_cell_angle_alpha 90.00
_cell_angle_beta 90.00
_cell_angle_gamma 90.00
_symmetry_space_group_name_H-M 'P 4 m m'
_symmetry_Int_Tables_number 99
_symmetry_space_group_name_Hall 'P 4 -2'
loop_
_atom_site_label
_atom_site_fract_x
_atom_site_fract_y
_atom_site_fract_z
_atom_site_occupancy
Zr1 0.000 0.000 0.000 1
Fe1 0.000 0.000 0.486 1
Fe2 0.500 0.500 0.273 1
Ru1 0.500 0.500 0.726 1

# ZrFe2Ru (PBE-GGA, optimized geometry)
# energy of formation	58	meV per atom
# D(E_F)	0.959	states/eV per atom
data_ZrFe2Ru
_chemical_formula_sum 'Zr1 Fe2 Ru1'
_cell_length_a 2.824
_cell_length_b 4.233
_cell_length_c 5.179
_cell_angle_alpha 90.00
_cell_angle_beta 104.31
_cell_angle_gamma 90.00
_symmetry_space_group_name_H-M 'P 1 2/m 1'
_symmetry_Int_Tables_number 10
_symmetry_space_group_name_Hall '-P 2y'
loop_
_atom_site_label
_atom_site_fract_x
_atom_site_fract_y
_atom_site_fract_z
_atom_site_occupancy
Zr1 0.000 0.000 0.000 1
Fe1 0.263 0.500 0.728 1
Ru1 0.500 0.000 0.500 1

# Zr3FeRu2 (PBE-GGA, optimized geometry)
# energy of formation	-489	meV per atom
# D(E_F)	0.364	states/eV per atom
data_Zr3FeRu2
_chemical_formula_sum 'Zr3 Fe1 Ru2'
_cell_length_a 3.248
_cell_length_b 3.248
_cell_length_c 9.756
_cell_angle_alpha 90.00
_cell_angle_beta 90.00
_cell_angle_gamma 90.00
_symmetry_space_group_name_H-M 'P 4/m m m'
_symmetry_Int_Tables_number 123
_symmetry_space_group_name_Hall '-P 4 2'
loop_
_atom_site_label
_atom_site_fract_x
_atom_site_fract_y
_atom_site_fract_z
_atom_site_occupancy
Zr1 0.000 0.000 0.000 1
Zr2 0.000 0.000 0.339 1
Fe1 0.500 0.500 0.500 1
Ru1 0.500 0.500 0.169 1

# Zr2FeRu (PBE-GGA, optimized geometry)
# energy of formation	580	meV per atom
# D(E_F)	0.849	states/eV per atom
data_Zr2FeRu
_chemical_formula_sum 'Zr4 Fe2 Ru2'
_cell_length_a 2.908
_cell_length_b 4.964
_cell_length_c 10.254
_cell_angle_alpha 90.00
_cell_angle_beta 90.00
_cell_angle_gamma 90.00
_symmetry_space_group_name_H-M 'I m m m'
_symmetry_Int_Tables_number 71
_symmetry_space_group_name_Hall '-I 2 2'
loop_
_atom_site_label
_atom_site_fract_x
_atom_site_fract_y
_atom_site_fract_z
_atom_site_occupancy
Zr1 0.000 0.000 0.247 1
Fe1 0.000 0.000 0.500 1
Ru1 0.000 0.000 0.000 1

# ZrFe2Ru (PBE-GGA, optimized geometry)
# energy of formation	354	meV per atom
# D(E_F)	1.467	states/eV per atom
data_ZrFe2Ru
_chemical_formula_sum 'Zr3 Fe6 Ru3'
_cell_length_a 2.7898
_cell_length_b 2.7898
_cell_length_c 26.9432
_cell_angle_alpha 90.00
_cell_angle_beta 90.00
_cell_angle_gamma 120.00
_symmetry_space_group_name_H-M 'R -3 m'
_symmetry_Int_Tables_number 166
_symmetry_space_group_name_Hall '-R 3 2"'
loop_
_atom_site_label
_atom_site_fract_x
_atom_site_fract_y
_atom_site_fract_z
_atom_site_occupancy
Zr1 0.0000 0.0000 0.0000 1
Fe1 0.0000 0.0000 0.2430 1
Ru1 0.0000 0.0000 0.5000 1

# Zr2FeRu (PBE-GGA, optimized geometry)
# energy of formation	-415	meV per atom
# D(E_F)	0.226	states/eV per atom
data_Zr2FeRu
_chemical_formula_sum 'Zr2 Fe1 Ru1'
_cell_length_a 3.235
_cell_length_b 3.235
_cell_length_c 6.444
_cell_angle_alpha 90.00
_cell_angle_beta 90.00
_cell_angle_gamma 90.00
_symmetry_space_group_name_H-M 'P 4/m m m'
_symmetry_Int_Tables_number 123
_symmetry_space_group_name_Hall '-P 4 2'
loop_
_atom_site_label
_atom_site_fract_x
_atom_site_fract_y
_atom_site_fract_z
_atom_site_occupancy
Zr1 0.000 0.000 0.243 1
Fe1 0.500 0.500 0.000 1
Ru1 0.500 0.500 0.500 1

# Zr2FeRu (PBE-GGA, optimized geometry)
# energy of formation	-48	meV per atom
# D(E_F)	1.378	states/eV per atom
data_Zr2FeRu
_chemical_formula_sum 'Zr8 Fe4 Ru4'
_cell_length_a 6.476
_cell_length_b 6.476
_cell_length_c 6.476
_cell_angle_alpha 90.00
_cell_angle_beta 90.00
_cell_angle_gamma 90.00
_symmetry_space_group_name_H-M 'F -4 3 m'
_symmetry_Int_Tables_number 216
_symmetry_space_group_name_Hall 'F -4 2 3'
loop_
_atom_site_label
_atom_site_fract_x
_atom_site_fract_y
_atom_site_fract_z
_atom_site_occupancy
Zr1 0.000 0.000 0.000 1
Zr2 0.250 0.250 0.250 1
Fe1 0.000 0.000 0.500 1
Ru1 0.250 0.250 0.750 1

# Zr2FeRu (PBE-GGA, optimized geometry)
# energy of formation	-192	meV per atom
# D(E_F)	0.833	states/eV per atom
data_Zr2FeRu
_chemical_formula_sum 'Zr4 Fe2 Ru2'
_cell_length_a 3.252
_cell_length_b 4.455
_cell_length_c 9.626
_cell_angle_alpha 90.00
_cell_angle_beta 90.00
_cell_angle_gamma 90.00
_symmetry_space_group_name_H-M 'I m m 2'
_symmetry_Int_Tables_number 44
_symmetry_space_group_name_Hall 'I 2 -2'
loop_
_atom_site_label
_atom_site_fract_x
_atom_site_fract_y
_atom_site_fract_z
_atom_site_occupancy
Zr1 0.000 0.000 0.000 1
Zr2 0.000 0.500 0.231 1
Fe1 0.000 0.500 0.757 1
Ru1 0.000 0.000 0.482 1

# ZrFeRu (PBE-GGA, optimized geometry)
# energy of formation	-46	meV per atom
# D(E_F)	0.913	states/eV per atom
data_ZrFeRu
_chemical_formula_sum 'Zr1 Fe1 Ru1'
_cell_length_a 4.3414
_cell_length_b 4.3414
_cell_length_c 2.9770
_cell_angle_alpha 90.00
_cell_angle_beta 90.00
_cell_angle_gamma 120.00
_symmetry_space_group_name_H-M 'P 3 m 1'
_symmetry_Int_Tables_number 156
_symmetry_space_group_name_Hall 'P 3 -2"'
loop_
_atom_site_label
_atom_site_fract_x
_atom_site_fract_y
_atom_site_fract_z
_atom_site_occupancy
Zr1 0.0000 0.0000 0.0000 1
Fe1 0.6667 0.3333 0.3789 1
Ru1 0.3333 0.6667 0.6470 1

# Zr2FeRu (PBE-GGA, optimized geometry)
# energy of formation	7	meV per atom
# D(E_F)	0.744	states/eV per atom
data_Zr2FeRu
_chemical_formula_sum 'Zr4 Fe2 Ru2'
_cell_length_a 8.251
_cell_length_b 3.192
_cell_length_c 5.534
_cell_angle_alpha 90.00
_cell_angle_beta 102.69
_cell_angle_gamma 90.00
_symmetry_space_group_name_H-M 'C 1 2/m 1'
_symmetry_Int_Tables_number 12
_symmetry_space_group_name_Hall '-C 2y'
loop_
_atom_site_label
_atom_site_fract_x
_atom_site_fract_y
_atom_site_fract_z
_atom_site_occupancy
Zr1 0.244 0.000 0.244 1
Fe1 0.000 0.500 0.000 1
Ru1 0.000 0.000 0.500 1

# ZrFe2Ru (PBE-GGA, optimized geometry)
# energy of formation	65	meV per atom
# D(E_F)	0.752	states/eV per atom
data_ZrFe2Ru
_chemical_formula_sum 'Zr2 Fe4 Ru2'
_cell_length_a 5.221
_cell_length_b 8.536
_cell_length_c 2.832
_cell_angle_alpha 90.00
_cell_angle_beta 109.48
_cell_angle_gamma 90.00
_symmetry_space_group_name_H-M 'C 1 2/m 1'
_symmetry_Int_Tables_number 12
_symmetry_space_group_name_Hall '-C 2y'
loop_
_atom_site_label
_atom_site_fract_x
_atom_site_fract_y
_atom_site_fract_z
_atom_site_occupancy
Zr1 0.000 0.000 0.000 1
Fe1 0.250 0.250 0.500 1
Ru1 0.000 0.500 0.000 1

# Zr5FeRu4 (PBE-GGA, optimized geometry)
# energy of formation	-552	meV per atom
# D(E_F)	0.301	states/eV per atom
data_Zr5FeRu4
_chemical_formula_sum 'Zr5 Fe1 Ru4'
_cell_length_a 3.261
_cell_length_b 3.261
_cell_length_c 16.297
_cell_angle_alpha 90.00
_cell_angle_beta 90.00
_cell_angle_gamma 90.00
_symmetry_space_group_name_H-M 'P 4/m m m'
_symmetry_Int_Tables_number 123
_symmetry_space_group_name_Hall '-P 4 2'
loop_
_atom_site_label
_atom_site_fract_x
_atom_site_fract_y
_atom_site_fract_z
_atom_site_occupancy
Zr1 0.000 0.000 0.000 1
Zr2 0.000 0.000 0.202 1
Zr3 0.000 0.000 0.404 1
Fe1 0.500 0.500 0.500 1
Ru1 0.500 0.500 0.101 1
Ru2 0.500 0.500 0.303 1